Compound: Li2CoSiO4
Source: Alexandria
Functional: PBE with a Hubbard U
Structure: relaxed

The density of states at the Fermi level is 0.00 states/eV/cell. The energy above the most stable polymorph in this dataset comes out at 9 meV per atom. The value obtained for the theoretical density is 3.09 g/cm3. Its size of the total moment is 3.0 μB per formula unit.

Unit cell a=5.3047 b=5.3047 c=6.3015 alpha=90.00 beta=90.00 gamma=92.13
Positions (direct):
Li (0.8185, 0.8185, 0.5000)
Li (0.1815, 0.1815, 0.0000)
Li (0.3134, 0.6866, 0.7500)
Li (0.6866, 0.3134, 0.2500)
Co (0.3209, 0.6791, 0.2500)
Co (0.6791, 0.3209, 0.7500)
Si (0.8236, 0.8236, 0.0000)
Si (0.1764, 0.1764, 0.5000)
O (0.6977, 0.6954, 0.2160)
O (0.6954, 0.6977, 0.7840)
O (0.3023, 0.3046, 0.7160)
O (0.3046, 0.3023, 0.2840)
O (0.1330, 0.7913, 0.0011)
O (0.7913, 0.1330, 0.9989)
O (0.2087, 0.8670, 0.4989)
O (0.8670, 0.2087, 0.5011)